A geometry-optimized Li5Fe2Ir2O10 structure. Source: the Alexandria database, functional PBE+U.

Output
- total magnetization (μB per cell) = 25.62
- density of states at the Fermi level (states/eV/f.u.) = 6.8
- raw total energy (eV/cell) = -230.19

Geometry as CIF:
```
data_Li5Fe2Ir2O10
_cell_length_a 5.142
_cell_length_b 15.252
_cell_length_c 5.172
_cell_angle_alpha 90.00
_cell_angle_beta 108.90
_cell_angle_gamma 90.00
_space_group_name_H-M_alt 'C 1 2 1'
_space_group_IT_number 5
_space_group_name_Hall 'C 2y'
loop_
_atom_site_label
_atom_site_type_symbol
_atom_site_fract_x
_atom_site_fract_y
_atom_site_fract_z
_atom_site_occupancy
Li1 Li 0.000 0.000 0.000 1
Li2 Li 0.000 0.107 0.500 1
Li3 Li 0.000 0.215 0.000 1
Li4 Li 0.000 0.597 0.000 1
Li5 Li 0.000 0.807 0.000 1
Fe1 Fe 0.000 0.305 0.500 1
Fe2 Fe 0.000 0.907 0.500 1
Ir1 Ir 0.000 0.503 0.500 1
Ir2 Ir 0.000 0.704 0.500 1
O1 O 0.219 0.603 0.727 1
O2 O 0.235 0.802 0.724 1
O3 O 0.246 0.405 0.723 1
O4 O 0.247 0.004 0.719 1
O5 O 0.248 0.710 0.270 1
```